The following is a PBE calculation of a geometry-optimized AcPaTaN3 structure, from Alexandria via LeMat-Bulk.

```
AcPaTaN3
1.0
-2.075 0.871 2.667
-2.517 -7.191 0.390
6.359 -0.615 5.148
Pa N Ta Ac
2 6 2 2
direct
0.750 0.359 0.840 Pa
0.250 0.641 0.160 Pa
0.750 0.868 0.154 N
0.750 0.423 0.110 N
0.250 0.577 0.890 N
0.250 0.132 0.846 N
0.250 0.821 0.538 N
0.750 0.179 0.462 N
0.250 0.122 0.583 Ta
0.750 0.878 0.417 Ta
0.250 0.157 0.177 Ac
0.750 0.843 0.823 Ac
```

- Fermi-level density of states (states/eV/atom) = 0.511
- raw formation energy (eV per atom) = -1.020
- raw total energy (eV/cell) = -113.10



The following is a PBE calculation of a geometry-optimized MgZrBr structure, from Alexandria via LeMat-Bulk.

```
MgZrBr
1.0
-1.247 -3.172 0.378
3.348 0.469 -0.575
1.171 0.389 7.136
Br Zr Mg
1 1 1
direct
0.000 0.000 0.955 Br
0.333 0.667 0.684 Zr
0.667 0.333 0.361 Mg
```

- Fermi-level density of states (states/eV/atom) = 0.893
- raw formation energy (eV per atom) = -0.453
- raw total energy (eV/cell) = -13.17



The following is a PBE calculation of a geometry-optimized Zr2TaAlH structure, from Alexandria via LeMat-Bulk.

```
Zr2TaAlH
1.0
-3.530 -1.285 -1.777
1.843 0.087 -3.724
1.349 -4.485 0.563
Zr Ta Al H
2 1 1 1
direct
0.500 0.000 0.000 Zr
0.000 0.500 0.000 Zr
0.500 0.500 0.500 Ta
0.000 0.000 0.500 Al
0.000 0.000 0.000 H
```

- Fermi-level density of states (states/eV/atom) = 0.800
- raw total energy (eV/cell) = -36.77